The following is a PBE calculation of crystalline La2ScHg at its relaxed geometry, from Alexandria.

## Properties
The value obtained for the magnetization is 0.01 μB per cell. The formation enthalpy at 0 K is -0.148 eV/atom. The calculation puts the energy at -17.08 eV/cell. For the theoretical density, the calculation gives 7.52 Mg/m³.

Lattice parameters (Å, degrees): 4.857 4.857 4.900 90.00 90.00 90.00
Space group P4/mmm (No. 123)
Unique sites:
La 0.000 0.500 0.000 x2
Sc 0.000 0.000 0.500 x1
Hg 0.500 0.500 0.500 x1